(1)
{"formula": "RbAs2H2", "functional": "PBE", "state": "relaxed", "sg": "C2/m, No. 12", "m_tot_mub_per_atom": 0.0000, "dft_energy_ev_per_cell": -17.78, "lattice": [[-5.3926, -2.4937, -0.5353], [4.3825, 1.2816, -3.8396], [-8.3430, -7.8708, 4.1095]], "species": ["Rb", "As", "As", "H", "H"], "frac_coords": [[0.0000, 0.0000, 0.0000], [0.8331, 0.1670, 0.4716], [0.1669, 0.8330, 0.5284], [0.4979, 0.5023, 0.8197], [0.5021, 0.4977, 0.1803]]}

---

(2)
{"formula": "Rb3AsH", "functional": "PBE", "state": "relaxed", "sg": "C2/m, No. 12", "m_tot_mub_per_atom": 0.0409, "dft_energy_ev_per_cell": -23.69, "lattice": [[4.6934, 0.0000, -0.0006], [2.3468, 7.4474, -0.3371], [0.0014, 2.7436, 11.1528]], "species": ["Rb", "Rb", "Rb", "Rb", "Rb", "Rb", "As", "As", "H", "H"], "frac_coords": [[0.2289, 0.1106, 0.2977], [0.4913, 0.5859, 0.1280], [0.1969, 0.1748, 0.9311], [0.7005, 0.1676, 0.6330], [0.4592, 0.6501, 0.7614], [0.9877, 0.5931, 0.4260], [0.8157, 0.9373, 0.1234], [0.8726, 0.8234, 0.9357], [0.0880, 0.3927, 0.6811], [0.6003, 0.3680, 0.3780]]}

---

(3)
{"formula": "Rb3AsH4", "functional": "PBE", "state": "relaxed", "sg": "C2/m, No. 12", "m_tot_mub_per_atom": 0.0000, "dft_energy_ev_per_cell": -21.60, "lattice": [[-0.3872, -2.7632, -3.3164], [0.8464, -4.6768, 3.7979], [-9.7148, 3.4118, 1.1234]], "species": ["Rb", "Rb", "Rb", "As", "H", "H", "H", "H"], "frac_coords": [[0.0000, 0.5000, 0.0000], [0.1383, 0.1565, 0.2765], [0.8617, 0.8435, 0.7235], [0.5000, 0.0000, 0.0000], [0.3689, 0.2601, 0.7378], [0.6311, 0.7399, 0.2622], [0.6004, 0.7940, 0.2008], [0.3996, 0.2060, 0.7992]]}